#P
VASP calculation (PBE-GGA) on a geometry-optimized BaGa2IrAu structure.

a = 4.790 Å, b = 4.790 Å, c = 5.461 Å
α = 90.00°, β = 90.00°, γ = 90.00°
Space group P4/mmm (No. 123)
One atom of each set of equivalent atoms:
Ba  0.000  0.000  0.000 x1
Ga  0.000  0.500  0.500 x2
Ir  0.500  0.500  0.500 x1
Au  0.500  0.500  0.000 x1

Results
magnetic moment: 0.0000 μB/atom

#Q
VASP calculation (PBE-GGA) on a geometry-optimized BaGa2IrAu structure.

a = 4.848 Å, b = 4.848 Å, c = 5.450 Å
α = 90.00°, β = 90.00°, γ = 90.00°
Space group P4/mmm (No. 123)
One atom of each set of equivalent atoms:
Ba  0.000  0.000  0.000 x1
Ga  0.000  0.500  0.500 x2
Ir  0.500  0.500  0.000 x1
Au  0.500  0.500  0.500 x1

Results
magnetic moment: 0.0000 μB/atom

Quick one: least stable of them? #Q

#P
VASP calculation (PBE-GGA) on a geometry-optimized BaLi2GaAu structure.

a = 5.071 Å, b = 5.071 Å, c = 5.008 Å
α = 90.00°, β = 90.00°, γ = 90.00°
Space group P4/mmm (No. 123)
One atom of each set of equivalent atoms:
Ba  0.000  0.000  0.000 x1
Li  0.000  0.500  0.500 x2
Ga  0.500  0.500  0.500 x1
Au  0.500  0.500  0.000 x1

Results
magnetic moment: 0.0000 μB/atom

#Q
VASP calculation (PBE-GGA) on a geometry-optimized BaLi2GaAu structure.

a = 5.115 Å, b = 5.115 Å, c = 4.934 Å
α = 90.00°, β = 90.00°, γ = 90.00°
Space group P4/mmm (No. 123)
One atom of each set of equivalent atoms:
Ba  0.000  0.000  0.000 x1
Li  0.000  0.500  0.500 x2
Ga  0.500  0.500  0.000 x1
Au  0.500  0.500  0.500 x1

Results
magnetic moment: 0.0045 μB/atom

Quick one: least stable of them? #P

#P
VASP calculation (PBE-GGA) on a geometry-optimized BaSrGaAu structure.

a = 7.957 Å, b = 7.957 Å, c = 7.957 Å
α = 90.00°, β = 90.00°, γ = 90.00°
Space group F-43m (No. 216)
One atom of each set of equivalent atoms:
Ba  0.000  0.000  0.000 x4
Sr  0.000  0.000  0.500 x4
Ga  0.250  0.250  0.750 x4
Au  0.250  0.250  0.250 x4

Results
magnetic moment: 0.0003 μB/atom

#Q
VASP calculation (PBE-GGA) on a geometry-optimized BaSrGaAu structure.

a = 4.647 Å, b = 4.954 Å, c = 11.604 Å
α = 90.00°, β = 90.00°, γ = 90.00°
Space group Amm2 (No. 38)
One atom of each set of equivalent atoms:
Ba  0.000  0.000  0.000 x2
Sr  0.500  0.000  0.711 x2
Ga  0.000  0.000  0.295 x2
Au  0.500  0.000  0.406 x2

Results
magnetic moment: 0.0000 μB/atom

Quick one: least stable of them? #P

#P
VASP calculation (PBE-GGA) on a geometry-optimized BaZnGaAu2 structure.

a = 4.545 Å, b = 4.545 Å, c = 11.535 Å
α = 90.00°, β = 90.00°, γ = 90.00°
Space group I-4m2 (No. 119)
One atom of each set of equivalent atoms:
Ba  0.000  0.000  0.000 x2
Zn  0.000  0.500  0.250 x2
Ga  0.000  0.500  0.750 x2
Au  0.000  0.000  0.372 x4

Results
magnetic moment: 0.0000 μB/atom

#Q
VASP calculation (PBE-GGA) on a geometry-optimized BaZnGaAu2 structure.

a = 5.098 Å, b = 5.098 Å, c = 4.986 Å
α = 90.00°, β = 90.00°, γ = 90.00°
Space group P4/mmm (No. 123)
One atom of each set of equivalent atoms:
Ba  0.000  0.000  0.000 x1
Zn  0.500  0.500  0.000 x1
Ga  0.500  0.500  0.500 x1
Au  0.000  0.500  0.500 x2

Results
magnetic moment: 0.0000 μB/atom

Quick one: least stable of them? #Q

#P
VASP calculation (PBE-GGA) on a geometry-optimized BaGe3Au3 structure.

a = 7.191 Å, b = 7.191 Å, c = 7.191 Å
α = 90.00°, β = 90.00°, γ = 90.00°
Space group Pm-3n (No. 223)
One atom of each set of equivalent atoms:
Ba  0.000  0.000  0.000 x2
Ge  0.000  0.250  0.500 x6
Au  0.000  0.500  0.250 x6

Results
magnetic moment: 0.0000 μB/atom

#Q
VASP calculation (PBE-GGA) on a geometry-optimized BaGe3Au3 structure.

a = 7.6227 Å, b = 7.6227 Å, c = 22.7279 Å
α = 90.00°, β = 90.00°, γ = 120.00°
Space group R-3 (No. 148, hexagonal axes)
One atom of each set of equivalent atoms:
Ba  0.0000  0.0000  0.1669 x6
Ge  0.0005  0.3140  0.4010 x18
Au  0.0005  0.3467  0.6204 x18

Results
magnetic moment: 0.0000 μB/atom

Quick one: least stable of them? #Q

#P
VASP calculation (PBE-GGA) on a geometry-optimized BaGe2Au5 structure.

a = 9.151 Å, b = 7.232 Å, c = 10.841 Å
α = 90.00°, β = 90.00°, γ = 90.00°
Space group Pnma (No. 62)
One atom of each set of equivalent atoms:
Ba  0.221  0.250  0.106 x4
Ge  0.054  0.250  0.618 x4
Ge  0.166  0.750  0.944 x4
Au  0.091  0.052  0.388 x8
Au  0.101  0.042  0.827 x8
Au  0.168  0.750  0.179 x4

Results
magnetic moment: 0.0000 μB/atom

#Q
VASP calculation (PBE-GGA) on a geometry-optimized BaGe2Au5 structure.

a = 4.667 Å, b = 7.339 Å, c = 10.353 Å
α = 90.00°, β = 90.00°, γ = 90.00°
Space group Immm (No. 71)
One atom of each set of equivalent atoms:
Ba  0.000  0.000  0.000 x2
Ge  0.000  0.500  0.245 x4
Au  0.000  0.192  0.357 x8
Au  0.000  0.500  0.000 x2

Results
magnetic moment: 0.0000 μB/atom

Quick one: least stable of them? #Q